A geometry-optimized Na2TbTmSe4 structure. Source: the Alexandria database, functional PBE.

Computed properties:
Energy relative to the elements, uncorrected in meV per atom: -1703
Space-group type: P2/m, No. 10

Lattice parameters (Å, degrees): 7.153 4.130 7.399 90.00 108.78 90.00
Sites, in units of the cell vectors:
1 Na 0.000 0.000 0.000
2 Na 0.500 0.500 0.000
3 Tb 0.000 0.500 0.500
4 Tm 0.500 0.000 0.500
5 Se 0.247 0.000 0.729
6 Se 0.261 0.500 0.272
7 Se 0.739 0.500 0.728
8 Se 0.753 0.000 0.271